RbS5Br: optimized geometry, PBE-GGA.

a b c (Å): 8.166 10.094 10.094
angles (deg): 126.79 73.71 73.71
Sites, in units of the cell vectors:
Rb 0.000 0.000 0.000
Rb 0.500 0.500 0.500
S 0.590 0.906 0.677
S 0.638 0.809 0.157
S 0.090 0.177 0.406
S 0.750 0.647 0.853
S 0.862 0.343 0.691
S 0.138 0.657 0.309
S 0.250 0.353 0.147
S 0.910 0.823 0.594
S 0.362 0.191 0.843
S 0.410 0.094 0.323
Br 0.750 0.393 0.107
Br 0.250 0.607 0.893

Output
Uncorrected formation energy   -0.244 eV per atom
Space group   No. 15
V   519.5 Å³/cell